# 1
# AlAgBr6 PBE-GGA optimized geometry
# **E_tot**: -0.0876 hartree per atom
data_AlAgBr6
_space_group_name_H-M_alt 'F -4 3 m'
_space_group_IT_number 216
_space_group_name_Hall 'F -4 2 3'
_cell_length_a 9.992
_cell_length_b 9.992
_cell_length_c 9.992
_cell_angle_alpha 90.00
_cell_angle_beta 90.00
_cell_angle_gamma 90.00
loop_
_atom_site_label
_atom_site_fract_x
_atom_site_fract_y
_atom_site_fract_z
_atom_site_occupancy
Al1 0.000 0.000 0.000 1
Ag1 0.250 0.250 0.750 1
Br1 0.000 0.000 0.246 1



# 2
# AlAgBrCl3 PBE-GGA optimized geometry
# **E_tot**: -0.1255 hartree per atom
data_AlAgBrCl3
_space_group_name_H-M_alt 'P 1'
_space_group_IT_number 1
_space_group_name_Hall 'P 1'
_cell_length_a 5.864
_cell_length_b 5.876
_cell_length_c 6.565
_cell_angle_alpha 115.50
_cell_angle_beta 116.08
_cell_angle_gamma 90.38
loop_
_atom_site_label
_atom_site_fract_x
_atom_site_fract_y
_atom_site_fract_z
_atom_site_occupancy
Al1 0.000 0.000 0.000 1
Ag1 0.745 0.246 0.496 1
Br1 0.618 0.672 0.756 1
Cl1 0.115 0.076 0.760 1
Cl2 0.311 0.880 0.234 1
Cl3 0.920 0.348 0.232 1



# 3
# AlAgBr2Cl2 PBE-GGA optimized geometry
# **E_tot**: -0.1217 hartree per atom
data_AlAgBr2Cl2
_space_group_name_H-M_alt 'P 1'
_space_group_IT_number 1
_space_group_name_Hall 'P 1'
_cell_length_a 5.990
_cell_length_b 6.010
_cell_length_c 6.680
_cell_angle_alpha 115.38
_cell_angle_beta 115.75
_cell_angle_gamma 90.50
loop_
_atom_site_label
_atom_site_fract_x
_atom_site_fract_y
_atom_site_fract_z
_atom_site_occupancy
Al1 0.000 0.000 0.000 1
Ag1 0.245 0.747 0.500 1
Br1 0.672 0.632 0.761 1
Br2 0.867 0.323 0.240 1
Cl1 0.079 0.109 0.763 1
Cl2 0.340 0.923 0.236 1



# 4
# Cs2AlAgBr6 PBE-GGA optimized geometry
# **E_tot**: -0.1122 hartree per atom
data_Cs2AlAgBr6
_space_group_name_H-M_alt 'F m -3 m'
_space_group_IT_number 225
_space_group_name_Hall '-F 4 2 3'
_cell_length_a 10.872
_cell_length_b 10.872
_cell_length_c 10.872
_cell_angle_alpha 90.00
_cell_angle_beta 90.00
_cell_angle_gamma 90.00
loop_
_atom_site_label
_atom_site_fract_x
_atom_site_fract_y
_atom_site_fract_z
_atom_site_occupancy
Cs1 0.250 0.250 0.250 1
Al1 0.000 0.000 0.000 1
Ag1 0.000 0.000 0.500 1
Br1 0.000 0.000 0.235 1



# 5
# K2AlAgBr6 PBE-GGA optimized geometry
# **E_tot**: -0.1123 hartree per atom
data_K2AlAgBr6
_space_group_name_H-M_alt 'R -3'
_space_group_IT_number 148
_space_group_name_Hall '-R 3'
_cell_length_a 7.6505
_cell_length_b 7.6505
_cell_length_c 17.8487
_cell_angle_alpha 90.00
_cell_angle_beta 90.00
_cell_angle_gamma 120.00
loop_
_atom_site_label
_atom_site_fract_x
_atom_site_fract_y
_atom_site_fract_z
_atom_site_occupancy
K1 0.0000 0.0000 0.2504 1
Al1 0.0000 0.0000 0.0000 1
Ag1 0.0000 0.0000 0.5000 1
Br1 0.0282 0.4432 0.7480 1



# 6
# Al3AgC PBE-GGA optimized geometry
# **E_tot**: -0.1599 hartree per atom
data_Al3AgC
_space_group_name_H-M_alt 'P m -3 m'
_space_group_IT_number 221
_space_group_name_Hall '-P 4 2 3'
_cell_length_a 4.114
_cell_length_b 4.114
_cell_length_c 4.114
_cell_angle_alpha 90.00
_cell_angle_beta 90.00
_cell_angle_gamma 90.00
loop_
_atom_site_label
_atom_site_fract_x
_atom_site_fract_y
_atom_site_fract_z
_atom_site_occupancy
Al1 0.000 0.000 0.500 1
Ag1 0.500 0.500 0.500 1
C1 0.000 0.000 0.000 1



# 7
# Al4AgCS2 PBE-GGA optimized geometry
# **E_tot**: -0.1680 hartree per atom
data_Al4AgCS2
_space_group_name_H-M_alt 'I -4'
_space_group_IT_number 82
_space_group_name_Hall 'I -4'
_cell_length_a 4.975
_cell_length_b 4.975
_cell_length_c 12.269
_cell_angle_alpha 90.00
_cell_angle_beta 90.00
_cell_angle_gamma 90.00
loop_
_atom_site_label
_atom_site_fract_x
_atom_site_fract_y
_atom_site_fract_z
_atom_site_occupancy
Al1 0.195 0.231 0.398 1
Ag1 0.000 0.500 0.250 1
C1 0.000 0.000 0.500 1
S1 0.000 0.000 0.000 1
S2 0.000 0.500 0.750 1



# 8
# Al4AgCSe2 PBE-GGA optimized geometry
# **E_tot**: -0.1608 hartree per atom
data_Al4AgCSe2
_space_group_name_H-M_alt 'I -4'
_space_group_IT_number 82
_space_group_name_Hall 'I -4'
_cell_length_a 5.112
_cell_length_b 5.112
_cell_length_c 12.554
_cell_angle_alpha 90.00
_cell_angle_beta 90.00
_cell_angle_gamma 90.00
loop_
_atom_site_label
_atom_site_fract_x
_atom_site_fract_y
_atom_site_fract_z
_atom_site_occupancy
Al1 0.176 0.233 0.398 1
Ag1 0.000 0.500 0.250 1
C1 0.000 0.000 0.500 1
Se1 0.000 0.000 0.000 1
Se2 0.000 0.500 0.750 1



# 9
# Al2CdAg PBE-GGA optimized geometry
# **E_tot**: -0.0965 hartree per atom
data_Al2CdAg
_space_group_name_H-M_alt 'F -4 3 m'
_space_group_IT_number 216
_space_group_name_Hall 'F -4 2 3'
_cell_length_a 6.715
_cell_length_b 6.715
_cell_length_c 6.715
_cell_angle_alpha 90.00
_cell_angle_beta 90.00
_cell_angle_gamma 90.00
loop_
_atom_site_label
_atom_site_fract_x
_atom_site_fract_y
_atom_site_fract_z
_atom_site_occupancy
Al1 0.000 0.000 0.000 1
Al2 0.250 0.250 0.250 1
Cd1 0.000 0.000 0.500 1
Ag1 0.250 0.250 0.750 1



# 10
# AlCd2Ag PBE-GGA optimized geometry
# **E_tot**: -0.0721 hartree per atom
data_AlCd2Ag
_space_group_name_H-M_alt 'F -4 3 m'
_space_group_IT_number 216
_space_group_name_Hall 'F -4 2 3'
_cell_length_a 6.799
_cell_length_b 6.799
_cell_length_c 6.799
_cell_angle_alpha 90.00
_cell_angle_beta 90.00
_cell_angle_gamma 90.00
loop_
_atom_site_label
_atom_site_fract_x
_atom_site_fract_y
_atom_site_fract_z
_atom_site_occupancy
Al1 0.000 0.000 0.000 1
Cd1 0.000 0.000 0.500 1
Cd2 0.250 0.250 0.750 1
Ag1 0.250 0.250 0.250 1



# 11
# AlCdAg2 PBE-GGA optimized geometry
# **E_tot**: -0.0933 hartree per atom
data_AlCdAg2
_space_group_name_H-M_alt 'F -4 3 m'
_space_group_IT_number 216
_space_group_name_Hall 'F -4 2 3'
_cell_length_a 6.637
_cell_length_b 6.637
_cell_length_c 6.637
_cell_angle_alpha 90.00
_cell_angle_beta 90.00
_cell_angle_gamma 90.00
loop_
_atom_site_label
_atom_site_fract_x
_atom_site_fract_y
_atom_site_fract_z
_atom_site_occupancy
Al1 0.000 0.000 0.000 1
Cd1 0.250 0.250 0.250 1
Ag1 0.000 0.000 0.500 1
Ag2 0.250 0.250 0.750 1



# 12
# AlCdAg PBE-GGA optimized geometry
# **E above lowest polymorph**: 0 meV/atom
data_AlCdAg
_space_group_name_H-M_alt 'F -4 3 m'
_space_group_IT_number 216
_space_group_name_Hall 'F -4 2 3'
_cell_length_a 6.349
_cell_length_b 6.349
_cell_length_c 6.349
_cell_angle_alpha 90.00
_cell_angle_beta 90.00
_cell_angle_gamma 90.00
loop_
_atom_site_label
_atom_site_fract_x
_atom_site_fract_y
_atom_site_fract_z
_atom_site_occupancy
Al1 0.000 0.000 0.000 1
Cd1 0.000 0.000 0.500 1
Ag1 0.250 0.250 0.250 1